[1]
# Hf2CuBi2

Hf2CuBi2 after structural relaxation (PBE, the Alexandria database).

Cell lengths 7.807, 7.807, 3.889 Å; angles 90.00, 90.00, 90.00 degrees
Positions (direct):
1 Hf 0.140 0.360 0.000
2 Hf 0.360 0.860 0.000
3 Hf 0.640 0.140 0.000
4 Hf 0.860 0.640 0.000
5 Cu 0.000 0.000 0.500
6 Cu 0.500 0.500 0.500
7 Bi 0.160 0.660 0.500
8 Bi 0.340 0.160 0.500
9 Bi 0.660 0.840 0.500
10 Bi 0.840 0.340 0.500

Calculated values
**Spin magnetization**: 0.00 μB/cell
**ΔE_f**: 0.224 eV per atom

***

[2]
# Hf2Cu2Bi

Hf2Cu2Bi after structural relaxation (PBE, the Alexandria database).

Cell lengths 8.388, 8.388, 8.388 Å; angles 155.77, 155.77, 34.52 degrees
Positions (direct):
1 Hf 0.118 0.118 0.000
2 Hf 0.882 0.882 0.000
3 Cu 0.250 0.750 0.500
4 Cu 0.750 0.250 0.500
5 Bi 0.500 0.500 0.000

Calculated values
**Spin magnetization**: 0.00 μB/cell
**ΔE_f**: 0.140 eV per atom

***

[3]
# Hf3CuBi

Hf3CuBi after structural relaxation (PBE, the Alexandria database).

Cell lengths 5.321, 5.321, 5.321 Å; angles 90.00, 90.00, 90.00 degrees
Positions (direct):
1 Hf 0.000 0.000 0.500
2 Hf 0.000 0.500 0.000
3 Hf 0.500 0.000 0.000
4 Cu 0.500 0.500 0.500
5 Bi 0.000 0.000 0.000

Calculated values
**Spin magnetization**: 0.00 μB/cell
**ΔE_f**: 1.615 eV per atom

***

[4]
# Hf2CuBi

Hf2CuBi after structural relaxation (PBE, the Alexandria database).

Cell lengths 6.168, 6.168, 6.168 Å; angles 103.66, 103.66, 121.85 degrees
Positions (direct):
1 Hf 0.090 0.625 0.965
2 Hf 0.375 0.340 0.465
3 Hf 0.660 0.125 0.035
4 Hf 0.875 0.910 0.535
5 Cu 0.000 0.000 0.000
6 Cu 0.750 0.250 0.500
7 Bi 0.250 0.750 0.500
8 Bi 0.500 0.500 0.000

Calculated values
**Spin magnetization**: 0.00 μB/cell
**ΔE_f**: 0.180 eV per atom

***

[5]
# Hf8CuBi2

Hf8CuBi2 after structural relaxation (PBE, the Alexandria database).

Cell lengths 9.548, 9.548, 5.904 Å; angles 107.49, 107.49, 29.01 degrees
Positions (direct):
1 Hf 0.020 0.020 0.266
2 Hf 0.229 0.229 0.845
3 Hf 0.356 0.356 0.444
4 Hf 0.417 0.417 0.006
5 Hf 0.583 0.583 0.994
6 Hf 0.644 0.644 0.556
7 Hf 0.771 0.771 0.155
8 Hf 0.980 0.980 0.734
9 Cu 0.500 0.500 0.500
10 Bi 0.182 0.182 0.286
11 Bi 0.818 0.818 0.714

Calculated values
**Spin magnetization**: 0.00 μB/cell
**ΔE_f**: 0.095 eV per atom

***

[6]
# Hf2CuBi

Hf2CuBi after structural relaxation (PBE, the Alexandria database).

Cell lengths 5.976, 5.976, 5.976 Å; angles 42.71, 42.71, 42.71 degrees
Positions (direct):
1 Hf 0.229 0.229 0.229
2 Hf 0.771 0.771 0.771
3 Cu 0.500 0.500 0.500
4 Bi 0.000 0.000 0.000

Calculated values
**Spin magnetization**: 0.00 μB/cell
**ΔE_f**: 0.050 eV per atom

***

[7]
# Hf5CuBi2

Hf5CuBi2 after structural relaxation (PBE, the Alexandria database).

Cell lengths 8.996, 8.996, 13.254 Å; angles 90.00, 90.00, 158.88 degrees
Positions (direct):
1 Hf 0.130 0.870 0.620
2 Hf 0.130 0.870 0.880
3 Hf 0.262 0.738 0.250
4 Hf 0.305 0.695 0.559
5 Hf 0.305 0.695 0.941
6 Hf 0.695 0.305 0.059
7 Hf 0.695 0.305 0.441
8 Hf 0.738 0.262 0.750
9 Hf 0.870 0.130 0.120
10 Hf 0.870 0.130 0.380
11 Cu 0.369 0.631 0.750
12 Cu 0.631 0.369 0.250
13 Bi 0.047 0.953 0.111
14 Bi 0.047 0.953 0.389
15 Bi 0.953 0.047 0.611
16 Bi 0.953 0.047 0.889

Calculated values
**Spin magnetization**: 0.00 μB/cell
**ΔE_f**: 0.072 eV per atom

***

[8]
# Hf4CuBi2

Hf4CuBi2 after structural relaxation (PBE, the Alexandria database).

Cell lengths 7.427, 11.130, 4.082 Å; angles 90.00, 90.00, 90.00 degrees
Positions (direct):
1 Hf 0.139 0.209 0.000
2 Hf 0.181 0.930 0.500
3 Hf 0.319 0.430 0.500
4 Hf 0.361 0.709 0.000
5 Hf 0.639 0.291 0.000
6 Hf 0.681 0.570 0.500
7 Hf 0.819 0.070 0.500
8 Hf 0.861 0.791 0.000
9 Cu 0.000 0.000 0.000
10 Cu 0.500 0.500 0.000
11 Bi 0.075 0.652 0.500
12 Bi 0.425 0.152 0.500
13 Bi 0.575 0.848 0.500
14 Bi 0.925 0.348 0.500

Calculated values
**Spin magnetization**: 0.00 μB/cell
**ΔE_f**: 0.030 eV per atom